1.
# ZrTe2Pt

Crystalline ZrTe2Pt at its relaxed geometry (GGA-PBE, the Alexandria database).

a b c (Å): 6.2364 6.2364 7.7846
angles (deg): 66.39 66.39 90.00
With the nearest neighbours (Å) after each atom.
Sites, in units of the cell vectors:
Te1 0.6472 0.1250 0.2500  2 Pt 2.65, 2 Zr 2.81
Te2 0.1028 0.6250 0.2500  2 Pt 2.65, 2 Zr 2.81
Te3 0.3750 0.3528 0.7500  2 Pt 2.65, 2 Zr 2.81
Te4 0.8750 0.8972 0.7500  2 Pt 2.65, 2 Zr 2.81
Zr1 0.5000 0.5000 0.0000  4 Te 2.81
Zr2 0.2500 0.7500 0.5000  4 Te 2.81
Pt1 0.0000 0.0000 0.0000  4 Te 2.65
Pt2 0.7500 0.2500 0.5000  4 Te 2.65

Values from the calculation:
Energy, eV/cell: -43.83
D(E_F), states/eV per cell: 1.24
Total magnetic moment, μB/f.u.: 0.0
Polymorph energy (0 for the lowest one), meV/atom: 402
Energy relative to the elements, uncorrected, eV/atom: -0.261


2.
# Be2CuHg

Crystalline Be2CuHg at its relaxed geometry (GGA-PBE, the Alexandria database).

a b c (Å): 4.8465 4.8465 4.8465
angles (deg): 144.32 130.17 62.79
With the nearest neighbours (Å) after each atom.
Sites, in units of the cell vectors:
Be1 0.0167 0.0167 0.0000  2 Be 2.43, 4 Cu 2.54, 2 Hg 2.63
Be2 0.2494 0.7494 0.5000  2 Cu 2.42, 2 Be 2.43, 4 Hg 2.52
Hg1 0.7539 0.2539 0.5000  6 Be 2.52-2.63, 4 Cu 2.71-2.77
Cu1 0.4801 0.4801 0.0000  6 Be 2.42-2.54

Values from the calculation:
Energy, eV/cell: -10.58
D(E_F), states/eV per cell: 0.77
Total magnetic moment, μB/f.u.: 0.0


3.
# KPuP2Pt4

Crystalline KPuP2Pt4 at its relaxed geometry (GGA-PBE, the Alexandria database).

a b c (Å): 4.0227 4.0227 10.8513
angles (deg): 90.00 90.00 90.00
With the nearest neighbours (Å) after each atom.
Sites, in units of the cell vectors:
K1 0.0000 0.0000 0.5000  8 P 3.46, 8 Pt 3.77
Pu1 0.0000 0.0000 0.0000  8 Pt 3.01
P1 0.5000 0.5000 0.3184  4 Pt 2.35
P2 0.5000 0.5000 0.6816  4 Pt 2.35
Pt1 0.0000 0.5000 0.2065  2 P 2.35
Pt2 0.5000 0.0000 0.7935  2 P 2.35
Pt3 0.5000 0.0000 0.2065  2 P 2.35
Pt4 0.0000 0.5000 0.7935  2 P 2.35

Values from the calculation:
Energy, eV/cell: -55.06
D(E_F), states/eV per cell: 18.31
Total magnetic moment, μB/f.u.: 5.5


4.
# Ba2AlAu

Crystalline Ba2AlAu at its relaxed geometry (GGA-PBE, the Alexandria database).

a b c (Å): 5.5231 5.5231 5.5231
angles (deg): 60.00 60.00 60.00
With the nearest neighbours (Å) after each atom.
Sites, in units of the cell vectors:
Au1 0.7500 0.7500 0.7500  4 Al 3.38, 4 Ba 3.38
Ba1 0.0000 0.0000 0.0000  4 Au 3.38, 4 Ba 3.38
Ba2 0.2500 0.2500 0.2500  4 Ba 3.38, 4 Al 3.38
Al1 0.5000 0.5000 0.5000  4 Ba 3.38, 4 Au 3.38

Values from the calculation:
Energy, eV/cell: -11.55
D(E_F), states/eV per cell: 0.76
Total magnetic moment, μB/f.u.: 0.0


5.
# LuCdRh2

Crystalline LuCdRh2 at its relaxed geometry (GGA-PBE, the Alexandria database).

a b c (Å): 3.4482 4.5070 4.5070
angles (deg): 90.00 90.00 90.00
With the nearest neighbours (Å) after each atom.
Sites, in units of the cell vectors:
Lu1 0.5000 0.5000 0.5000  8 Rh 2.84
Rh1 0.0000 0.0000 0.5000  4 Lu 2.84, 4 Cd 2.84
Rh2 0.0000 0.5000 0.0000  4 Lu 2.84, 4 Cd 2.84
Cd1 0.5000 0.0000 0.0000  8 Rh 2.84

Values from the calculation:
Energy, eV/cell: -22.79
D(E_F), states/eV per cell: 2.00
Total magnetic moment, μB/f.u.: 0.0
Polymorph energy (0 for the lowest one), meV/atom: 0


6.
# LiPmBeCd

Crystalline LiPmBeCd at its relaxed geometry (GGA-PBE, the Alexandria database).

a b c (Å): 4.7447 4.7447 4.7447
angles (deg): 60.00 60.00 60.00
With the nearest neighbours (Å) after each atom.
Sites, in units of the cell vectors:
Be1 0.5000 0.5000 0.5000  4 Cd 2.91, 4 Pm 2.91
Cd1 0.7500 0.7500 0.7500  4 Li 2.91, 4 Be 2.91
Li1 0.0000 0.0000 0.0000  4 Pm 2.91, 4 Cd 2.91
Pm1 0.2500 0.2500 0.2500  4 Li 2.91, 4 Be 2.91

Values from the calculation:
Energy, eV/cell: -11.56
D(E_F), states/eV per cell: 1.03
Total magnetic moment, μB/f.u.: 0.0


7.
# TaMn3Ge

Crystalline TaMn3Ge at its relaxed geometry (GGA-PBE, the Alexandria database).

a b c (Å): 4.7304 4.7304 4.7304
angles (deg): 90.00 90.00 90.00
With the nearest neighbours (Å) after each atom.
Sites, in units of the cell vectors:
Ge1 0.5000 0.5000 0.5000  12 Mn 3.34
Mn1 0.0000 0.5000 0.0000  2 Ta 2.37
Mn2 0.0000 0.0000 0.5000  2 Ta 2.37
Mn3 0.5000 0.0000 0.0000  2 Ta 2.37
Ta1 0.0000 0.0000 0.0000  6 Mn 2.37

Values from the calculation:
Energy, eV/cell: -37.18
D(E_F), states/eV per cell: 4.76
Total magnetic moment, μB/f.u.: 8.6
Polymorph energy (0 for the lowest one), meV/atom: 472


8.
# Tb3Mg2Cu4

Crystalline Tb3Mg2Cu4 at its relaxed geometry (GGA-PBE, the Alexandria database).

a b c (Å): 4.3743 5.3091 8.8156
angles (deg): 93.00 90.00 114.33
With the nearest neighbours (Å) after each atom.
Sites, in units of the cell vectors:
Tb1 0.3665 0.7329 0.6141  6 Cu 2.87-3.12
Tb2 0.0000 0.0000 0.0000  6 Cu 2.90-3.05
Tb3 0.6335 0.2671 0.3859  6 Cu 2.87-3.12
Mg1 0.3261 0.6523 0.2207  5 Cu 2.61-2.74
Mg2 0.6739 0.3477 0.7793  5 Cu 2.61-2.74
Cu1 0.7122 0.4244 0.0748  3 Mg 2.61-2.74, 2 Cu 2.68, 2 Tb 2.89-2.90
Cu2 0.0710 0.1420 0.6251  1 Cu 2.53, 2 Mg 2.73
Cu3 0.9290 0.8580 0.3749  1 Cu 2.53, 2 Mg 2.73
Cu4 0.2878 0.5756 0.9252  3 Mg 2.61-2.74, 2 Cu 2.68, 2 Tb 2.89-2.90

Values from the calculation:
Energy, eV/cell: -35.08
D(E_F), states/eV per cell: 6.22
Total magnetic moment, μB/f.u.: 0.0


> Which of these has the highest total magnetic moment?

TaMn3Ge